(1)
! LaSbF (PBE, optimized geometry); values from VASP
&SYSTEM
  ibrav = 0, nat = 3, ntyp = 3
/
ATOMIC_SPECIES
Sb 121.76 Sb.upf
La 138.91 La.upf
F 19.00 F.upf
CELL_PARAMETERS angstrom
4.962 0.000 0.000
0.000 4.176 0.000
0.000 -2.088 3.616
ATOMIC_POSITIONS crystal
Sb 0.667 0.667 0.333
La 0.167 0.000 0.000
F 0.167 0.333 0.667
! Formation energy (no corrections), kJ/mol of formula units: -637.4
! Space-group type: P-6m2
! Offset from the most stable computed form, meV per atom: 0


(2)
! TiGa2Ir (PBE, optimized geometry); values from VASP
&SYSTEM
  ibrav = 0, nat = 8, ntyp = 3
/
ATOMIC_SPECIES
Ga 69.72 Ga.upf
Ti 47.87 Ti.upf
Ir 192.22 Ir.upf
CELL_PARAMETERS angstrom
-5.805 1.739 3.705
-3.709 -4.953 -3.486
-4.108 -3.400 1.967
ATOMIC_POSITIONS crystal
Ga 0.104 0.625 0.250
Ga 0.375 0.354 0.750
Ga 0.875 0.896 0.750
Ga 0.646 0.125 0.250
Ti 0.500 0.500 0.000
Ti 0.250 0.750 0.500
Ir 0.000 0.000 0.000
Ir 0.750 0.250 0.500
! Energy relative to the elements, meV per atom: -160
! Space-group type: I-42d


(3)
! CsTaN2 (PBE, optimized geometry); values from VASP
&SYSTEM
  ibrav = 0, nat = 4, ntyp = 3
/
ATOMIC_SPECIES
N 14.01 N.upf
Cs 132.91 Cs.upf
Ta 180.95 Ta.upf
CELL_PARAMETERS angstrom
1.711 3.632 6.717
2.102 0.480 7.523
4.526 2.102 6.028
ATOMIC_POSITIONS crystal
N 0.878 0.878 0.878
N 0.122 0.122 0.122
Cs 0.000 0.000 0.000
Ta 0.500 0.500 0.500
! Formation energy (no corrections), kJ/mol of formula units: -122.4
! Space-group type: R-3m


(4)
! TcMoPAu2 (PBE, optimized geometry); values from VASP
&SYSTEM
  ibrav = 0, nat = 5, ntyp = 4
/
ATOMIC_SPECIES
Au 196.97 Au.upf
Mo 95.94 Mo.upf
Tc 98.00 Tc.upf
P 30.97 P.upf
CELL_PARAMETERS angstrom
5.058 0.000 0.000
0.000 4.591 0.000
0.000 0.000 5.058
ATOMIC_POSITIONS crystal
Au 0.000 0.000 0.500
Au 0.500 0.000 0.000
Mo 0.000 0.000 0.000
Tc 0.000 0.500 0.000
P 0.500 0.500 0.500
! Energy relative to the elements, meV per atom: 1696
! Space-group type: P4/mmm


(5)
! MgSiNi (PBE, optimized geometry); values from VASP
&SYSTEM
  ibrav = 0, nat = 3, ntyp = 3
/
ATOMIC_SPECIES
Ni 58.69 Ni.upf
Si 28.09 Si.upf
Mg 24.30 Mg.upf
CELL_PARAMETERS angstrom
4.018 0.000 0.000
-2.009 3.480 0.000
0.000 0.000 3.124
ATOMIC_POSITIONS crystal
Ni 0.667 0.333 0.500
Si 0.333 0.667 0.500
Mg 0.000 0.000 0.000
! Formation energy (no corrections), kJ/mol of formula units: -88.8
! Space-group type: P-6m2


(6)
! Pm6Ni2HgBr3 (PBE, optimized geometry); values from VASP
&SYSTEM
  ibrav = 0, nat = 12, ntyp = 4
/
ATOMIC_SPECIES
Ni 58.69 Ni.upf
Br 79.90 Br.upf
Hg 200.59 Hg.upf
Pm 145.00 Pm.upf
CELL_PARAMETERS angstrom
4.071 0.000 0.000
0.000 9.110 -0.040
-2.035 -3.009 9.231
ATOMIC_POSITIONS crystal
Ni 0.169 0.344 0.338
Ni 0.831 0.656 0.662
Br 0.165 0.837 0.330
Br 0.835 0.163 0.670
Br 0.500 0.500 0.000
Hg 0.500 0.000 0.000
Pm 0.664 0.130 0.328
Pm 0.336 0.870 0.672
Pm 0.681 0.561 0.362
Pm 0.319 0.439 0.638
Pm 0.979 0.737 0.958
Pm 0.021 0.263 0.042
! Formation energy (no corrections), kJ/mol of formula units: -899.1
! Space-group type: C2/m